This record from Alexandria via LeMat-Bulk describes crystalline CoAuO2 at its relaxed geometry. The functional is GGA+U.

a b c (Å): 5.656 5.656 5.656
angles (deg): 90.00 90.00 90.00
Fractional positions:
Co (0.000, 0.000, 0.000)
Co (0.000, 0.500, 0.500)
Co (0.500, 0.000, 0.500)
Co (0.500, 0.500, 0.000)
Au (0.000, 0.000, 0.500)
Au (0.000, 0.500, 0.000)
Au (0.500, 0.000, 0.000)
Au (0.500, 0.500, 0.500)
O (0.250, 0.250, 0.250)
O (0.250, 0.250, 0.750)
O (0.250, 0.750, 0.250)
O (0.250, 0.750, 0.750)
O (0.750, 0.250, 0.250)
O (0.750, 0.250, 0.750)
O (0.750, 0.750, 0.250)
O (0.750, 0.750, 0.750)

## Properties
volume = 11.31 Å³ per atom
DOS(E_F) = 2.12 states/eV/f.u.
DFT total energy = -4.32 eV per atom